Ce2Tl3RuS6 | GGA-PBE | optimized geometry

Results
D(E_F) (states/eV/f.u.): 9.5
Space-group type: C2/m, No. 12
ΔE_f (raw) (eV/atom): -0.9879
Calculated total energy (eV/atom): -5.4051

```
Ce2Tl3RuS6
1.0
3.3245 -5.7984 0.0000
3.3245 5.7984 0.0000
-2.3002 0.0000 7.7264
Ce Tl Ru S
2 3 1 6
direct
0.1641 0.8359 0.0000 Ce
0.8359 0.1641 0.0000 Ce
0.0000 0.0000 0.5000 Tl
0.3224 0.6776 0.5000 Tl
0.6776 0.3224 0.5000 Tl
0.5000 0.5000 0.0000 Ru
0.1352 0.4363 0.8102 S
0.2732 0.2732 0.2020 S
0.4363 0.1352 0.8102 S
0.5637 0.8648 0.1898 S
0.7268 0.7268 0.7980 S
0.8648 0.5637 0.1898 S
```

Er2Rh2O7 | GGA-PBE | optimized geometry

Results
D(E_F) (states/eV/f.u.): 3.5
Space-group type: P-1, No. 2
ΔE_f (raw) (eV/atom): -1.7386
Calculated total energy (eV/atom): -7.0601

```
Er2Rh2O7
1.0
5.0072 0.0000 0.0000
-0.7341 5.0415 0.0000
-0.8910 -0.9328 5.0282
Er Rh O
2 2 7
direct
0.0763 0.2613 0.2623 Er
0.9237 0.7387 0.7377 Er
0.4854 0.7665 0.2321 Rh
0.5146 0.2335 0.7679 Rh
0.2330 0.4584 0.9305 O
0.2392 0.9323 0.4836 O
0.2757 0.9957 0.0257 O
0.5000 0.5000 0.5000 O
0.7243 0.0043 0.9743 O
0.7608 0.0677 0.5164 O
0.7670 0.5416 0.0695 O
```